[1]
Density functional theory data (PBE) for a geometry-optimized TmRh4 structure.

a b c (Å): 3.8204 3.8204 11.9754
angles (deg): 90.00 90.00 90.00
Closest atoms and distances in Å follow each position.
Element x y z (fractional)
Tm: 0.0000 0.0000 0.0000  8 Rh 2.96
Tm: 0.5000 0.5000 0.5000  8 Rh 2.96
Rh: 0.0000 0.0000 0.3989  5 Rh 2.42-2.61
Rh: 0.0000 0.0000 0.6011  5 Rh 2.42-2.61
Rh: 0.0000 0.5000 0.2500  8 Rh 2.61-2.70
Rh: 0.0000 0.5000 0.7500  8 Rh 2.61-2.70
Rh: 0.5000 0.0000 0.2500  8 Rh 2.61-2.70
Rh: 0.5000 0.0000 0.7500  8 Rh 2.61-2.70
Rh: 0.5000 0.5000 0.1011  5 Rh 2.42-2.61
Rh: 0.5000 0.5000 0.8989  5 Rh 2.42-2.61

Results
The value obtained for the total moment is 0.00 μB per formula unit. The value obtained for the energy of formation from the pure elements is -20.6 kJ per mole of atoms. The energy above the most stable polymorph in this dataset is 14 meV per atom.

---

[2]
Density functional theory data (PBE) for a geometry-optimized Tm4Rh structure.

a b c (Å): 7.5024 7.5024 7.5024
angles (deg): 60.00 60.00 60.00
Closest atoms and distances in Å follow each position.
Element x y z (fractional)
Tm: 0.2078 0.7640 0.7640  1 Rh 2.56
Tm: 0.2360 0.2360 0.2360  1 Rh 2.56
Tm: 0.2360 0.2360 0.7922  1 Rh 2.56
Tm: 0.2360 0.7922 0.2360  1 Rh 2.56
Tm: 0.7640 0.2078 0.7640  1 Rh 2.56
Tm: 0.7640 0.7640 0.2078  1 Rh 2.56
Tm: 0.7640 0.7640 0.7640  1 Rh 2.56
Tm: 0.7922 0.2360 0.2360  1 Rh 2.56
Rh: 0.3750 0.3750 0.3750  4 Tm 2.56
Rh: 0.6250 0.6250 0.6250  4 Tm 2.56

Results
The value obtained for the total moment is 0.00 μB per formula unit. The value obtained for the energy of formation from the pure elements is 6.6 kJ per mole of atoms. The energy above the most stable polymorph in this dataset is 446 meV per atom.

---

[3]
Density functional theory data (PBE) for a geometry-optimized TmRh3 structure.

a b c (Å): 2.9946 8.9880 4.8377
angles (deg): 90.00 90.00 90.00
Closest atoms and distances in Å follow each position.
Element x y z (fractional)
Tm: 0.0000 0.0000 0.0000  10 Rh 2.76-2.90, 2 Tm 2.99
Tm: 0.5000 0.5000 0.5000  10 Rh 2.76-2.90, 2 Tm 2.99
Rh: 0.0000 0.2446 0.6553  3 Tm 2.76-2.84, 9 Rh 2.78-2.99
Rh: 0.0000 0.5000 0.9871  8 Rh 2.78-2.99, 4 Tm 2.79-2.90
Rh: 0.0000 0.7554 0.6553  3 Tm 2.76-2.84, 9 Rh 2.78-2.99
Rh: 0.5000 0.0000 0.4871  8 Rh 2.78-2.99, 4 Tm 2.79-2.90
Rh: 0.5000 0.2554 0.1553  3 Tm 2.76-2.84, 9 Rh 2.78-2.99
Rh: 0.5000 0.7446 0.1553  3 Tm 2.76-2.84, 9 Rh 2.78-2.99

Results
The value obtained for the total moment is 0.00 μB per formula unit. The value obtained for the energy of formation from the pure elements is -40.8 kJ per mole of atoms.

---

[4]
Density functional theory data (PBE) for a geometry-optimized Tm3Rh2 structure.

a b c (Å): 5.8685 5.8685 9.9002
angles (deg): 90.00 90.00 137.78
Closest atoms and distances in Å follow each position.
Element x y z (fractional)
Tm: 0.0924 0.9076 0.7500  3 Rh 2.67-2.99
Tm: 0.3527 0.6473 0.5664  4 Rh 2.74-2.81
Tm: 0.3527 0.6473 0.9336  4 Rh 2.74-2.81
Tm: 0.6473 0.3527 0.0664  4 Rh 2.74-2.81
Tm: 0.6473 0.3527 0.4336  4 Rh 2.74-2.81
Tm: 0.9076 0.0924 0.2500  3 Rh 2.67-2.99
Rh: 0.0000 0.0000 0.0000  6 Tm 2.67-2.74
Rh: 0.0000 0.0000 0.5000  6 Tm 2.67-2.74
Rh: 0.1808 0.8192 0.2500  5 Tm 2.81-2.99
Rh: 0.8192 0.1808 0.7500  5 Tm 2.81-2.99

Results
The value obtained for the total moment is 0.00 μB per formula unit. The value obtained for the energy of formation from the pure elements is -73.3 kJ per mole of atoms. The energy above the most stable polymorph in this dataset is 36 meV per atom.

---

[5]
Density functional theory data (PBE) for a geometry-optimized Tm8Rh3 structure.

a b c (Å): 6.6224 6.6224 6.6224
angles (deg): 88.03 88.03 88.03
Closest atoms and distances in Å follow each position.
Element x y z (fractional)
Tm: 0.1514 0.1514 0.1514  3 Rh 2.66
Tm: 0.1695 0.6467 0.3387  2 Rh 2.76-2.79
Tm: 0.3387 0.1695 0.6467  2 Rh 2.76-2.79
Tm: 0.3533 0.6613 0.8305  2 Rh 2.76-2.79
Tm: 0.6467 0.3387 0.1695  2 Rh 2.76-2.79
Tm: 0.6613 0.8305 0.3533  2 Rh 2.76-2.79
Tm: 0.8305 0.3533 0.6613  2 Rh 2.76-2.79
Tm: 0.8486 0.8486 0.8486  3 Rh 2.66
Rh: 0.0000 0.0000 0.5000  6 Tm 2.66-2.79
Rh: 0.0000 0.5000 0.0000  6 Tm 2.66-2.79
Rh: 0.5000 0.0000 0.0000  6 Tm 2.66-2.79

Results
The value obtained for the total moment is 0.00 μB per formula unit. The value obtained for the energy of formation from the pure elements is -48.5 kJ per mole of atoms.

---

[6]
Density functional theory data (PBE) for a geometry-optimized Tm4Rh3 structure.

a b c (Å): 8.2762 8.2762 8.2762
angles (deg): 33.30 33.30 33.30
Closest atoms and distances in Å follow each position.
Element x y z (fractional)
Tm: 0.1241 0.1241 0.1241  7 Rh 2.89-2.93
Tm: 0.3748 0.3748 0.3748  5 Rh 2.91-2.94
Tm: 0.6252 0.6252 0.6252  5 Rh 2.91-2.94
Tm: 0.8759 0.8759 0.8759  7 Rh 2.89-2.93
Rh: 0.2493 0.2493 0.2493  8 Tm 2.89-2.94
Rh: 0.5000 0.5000 0.5000  8 Tm 2.91-2.93
Rh: 0.7507 0.7507 0.7507  8 Tm 2.89-2.94

Results
The value obtained for the total moment is 0.00 μB per formula unit. The value obtained for the energy of formation from the pure elements is -83.0 kJ per mole of atoms.

---

[7]
Density functional theory data (PBE) for a geometry-optimized Tm6Rh5 structure.

a b c (Å): 8.2723 8.2723 4.7706
angles (deg): 106.68 106.68 47.67
Closest atoms and distances in Å follow each position.
Element x y z (fractional)
Tm: 0.0823 0.5855 0.3340  7 Rh 2.90-2.94
Tm: 0.2486 0.7514 0.0000  6 Rh 2.90-2.95
Tm: 0.4145 0.9177 0.6660  7 Rh 2.90-2.94
Tm: 0.5855 0.0823 0.3340  7 Rh 2.90-2.94
Tm: 0.7514 0.2486 0.0000  6 Rh 2.90-2.95
Tm: 0.9177 0.4145 0.6660  7 Rh 2.90-2.94
Rh: 0.1698 0.1698 0.1699  8 Tm 2.90-2.95
Rh: 0.3353 0.3353 0.8356  8 Tm 2.90-2.94
Rh: 0.5000 0.5000 0.5000  8 Tm 2.92
Rh: 0.6647 0.6647 0.1644  8 Tm 2.90-2.94
Rh: 0.8302 0.8302 0.8301  8 Tm 2.90-2.95

Results
The value obtained for the total moment is 0.00 μB per formula unit. The value obtained for the energy of formation from the pure elements is -85.8 kJ per mole of atoms.

---

[8]
Density functional theory data (PBE) for a geometry-optimized Tm3Rh2 structure.

a b c (Å): 8.1820 4.6744 5.9591
angles (deg): 90.00 90.33 90.00
Closest atoms and distances in Å follow each position.
Element x y z (fractional)
Tm: 0.0000 0.0000 0.0000  6 Rh 2.88-2.91
Tm: 0.1664 0.5000 0.6654  5 Rh 2.88-2.99
Tm: 0.3336 0.0000 0.3346  5 Rh 2.88-2.99
Tm: 0.5000 0.5000 0.0000  6 Rh 2.88-2.91
Tm: 0.6664 0.0000 0.6654  5 Rh 2.88-2.99
Tm: 0.8336 0.5000 0.3346  5 Rh 2.88-2.99
Rh: 0.1668 0.5000 0.1669  8 Tm 2.88-2.99
Rh: 0.3332 0.0000 0.8331  8 Tm 2.88-2.99
Rh: 0.6668 0.0000 0.1669  8 Tm 2.88-2.99
Rh: 0.8332 0.5000 0.8331  8 Tm 2.88-2.99

Results
The value obtained for the total moment is 0.00 μB per formula unit. The value obtained for the energy of formation from the pure elements is -76.8 kJ per mole of atoms. The energy above the most stable polymorph in this dataset is 0 meV per atom.

---

[9]
Density functional theory data (PBE) for a geometry-optimized Tm2Rh7 structure.

a b c (Å): 13.4369 13.4369 13.4369
angles (deg): 22.38 22.38 22.38
Closest atoms and distances in Å follow each position.
Element x y z (fractional)
Tm: 0.0491 0.0491 0.0491  12 Rh 3.02-3.24
Tm: 0.1471 0.1471 0.1471  12 Rh 2.97-3.31
Tm: 0.8529 0.8529 0.8529  12 Rh 2.97-3.31
Tm: 0.9509 0.9509 0.9509  12 Rh 3.02-3.24
Rh: 0.0000 0.5000 0.5000  8 Rh 2.61-2.67
Rh: 0.1090 0.6122 0.6122  7 Rh 2.59-2.66
Rh: 0.2774 0.2774 0.2774  6 Rh 2.64-2.66
Rh: 0.3878 0.3878 0.8910  7 Rh 2.59-2.66
Rh: 0.3878 0.8910 0.3878  7 Rh 2.59-2.66
Rh: 0.3896 0.3896 0.3896  6 Rh 2.63-2.67
Rh: 0.5000 0.0000 0.5000  8 Rh 2.61-2.67
Rh: 0.5000 0.5000 0.0000  8 Rh 2.61-2.67
Rh: 0.5000 0.5000 0.5000  6 Rh 2.66
Rh: 0.6104 0.6104 0.6104  6 Rh 2.63-2.67
Rh: 0.6122 0.1090 0.6122  7 Rh 2.59-2.66
Rh: 0.6122 0.6122 0.1090  7 Rh 2.59-2.66
Rh: 0.7226 0.7226 0.7226  6 Rh 2.64-2.66
Rh: 0.8910 0.3878 0.3878  7 Rh 2.59-2.66

Results
The value obtained for the total moment is 0.00 μB per formula unit. The value obtained for the energy of formation from the pure elements is -47.8 kJ per mole of atoms.

---

[10]
Density functional theory data (PBE) for a geometry-optimized Tm4Rh structure.

a b c (Å): 5.3193 5.3193 5.3193
angles (deg): 90.00 90.00 90.00
Closest atoms and distances in Å follow each position.
Element x y z (fractional)
Tm: 0.0000 0.0000 0.0000  12 Tm 3.76
Tm: 0.0000 0.5000 0.5000  2 Rh 2.66
Tm: 0.5000 0.0000 0.5000  2 Rh 2.66
Tm: 0.5000 0.5000 0.0000  2 Rh 2.66
Rh: 0.5000 0.5000 0.5000  6 Tm 2.66

Results
The value obtained for the total moment is 0.00 μB per formula unit. The value obtained for the energy of formation from the pure elements is -22.8 kJ per mole of atoms. The energy above the most stable polymorph in this dataset is 142 meV per atom.

---

[11]
Density functional theory data (PBE) for a geometry-optimized TmRh4 structure.

a b c (Å): 7.6947 7.6947 7.6947
angles (deg): 109.47 109.47 109.47
Closest atoms and distances in Å follow each position.
Element x y z (fractional)
Tm: 0.0000 0.0000 0.4437  1 Rh 2.68
Tm: 0.0000 0.4437 0.0000  1 Rh 2.68
Tm: 0.4437 0.0000 0.0000  1 Rh 2.68
Tm: 0.5563 0.5563 0.5563  1 Rh 2.68
Rh: 0.0000 0.0000 0.7916  6 Rh 2.57-2.62, 1 Tm 2.68
Rh: 0.0000 0.3529 0.3529  7 Rh 2.57-2.61
Rh: 0.0000 0.6471 0.6471  7 Rh 2.57-2.61
Rh: 0.0000 0.7916 0.0000  6 Rh 2.57-2.62, 1 Tm 2.68
Rh: 0.2084 0.2084 0.2084  6 Rh 2.57-2.62, 1 Tm 2.68
Rh: 0.2500 0.5000 0.7500  4 Rh 2.58
Rh: 0.2500 0.7500 0.5000  4 Rh 2.58
Rh: 0.3529 0.0000 0.3529  7 Rh 2.57-2.61
Rh: 0.3529 0.3529 0.0000  7 Rh 2.57-2.61
Rh: 0.5000 0.2500 0.7500  4 Rh 2.58
Rh: 0.5000 0.7500 0.2500  4 Rh 2.58
Rh: 0.6471 0.0000 0.6471  7 Rh 2.57-2.61
Rh: 0.6471 0.6471 0.0000  7 Rh 2.57-2.61
Rh: 0.7500 0.2500 0.5000  4 Rh 2.58
Rh: 0.7500 0.5000 0.2500  4 Rh 2.58
Rh: 0.7916 0.0000 0.0000  6 Rh 2.57-2.62, 1 Tm 2.68

Results
The value obtained for the total moment is 0.00 μB per formula unit. The value obtained for the energy of formation from the pure elements is -21.9 kJ per mole of atoms. The energy above the most stable polymorph in this dataset is 0 meV per atom.

---

[12]
Density functional theory data (PBE) for a geometry-optimized TmRh3 structure.

a b c (Å): 4.0161 4.0161 4.0161
angles (deg): 90.00 90.00 90.00
Closest atoms and distances in Å follow each position.
Element x y z (fractional)
Tm: 0.0000 0.0000 0.0000  12 Rh 2.84
Rh: 0.0000 0.5000 0.5000  4 Tm 2.84, 8 Rh 2.84
Rh: 0.5000 0.0000 0.5000  4 Tm 2.84, 8 Rh 2.84
Rh: 0.5000 0.5000 0.0000  4 Tm 2.84, 8 Rh 2.84

Results
The value obtained for the total moment is 0.00 μB per formula unit. The value obtained for the energy of formation from the pure elements is -55.1 kJ per mole of atoms.